[1]
! Pm8Pr3Cd, optimized geometry, DFT PBE-GGA; values from VASP
! Formation energy from the elements (meV per atom): 453
! SG: I-42m
! Theoretical density (g/cm3): 6.39
&SYSTEM
  ibrav = 0, nat = 12, ntyp = 3
/
ATOMIC_SPECIES
Pm 145.00 Pm.upf
Pr 140.91 Pr.upf
Cd 112.41 Cd.upf
CELL_PARAMETERS angstrom
-4.379 4.379 5.746
4.379 -4.379 5.746
4.379 4.379 -5.746
ATOMIC_POSITIONS angstrom
Pm 3.275 3.275 -2.864
Pm 2.215 2.215 -0.032
Pm 2.164 -2.164 5.779
Pm 1.104 1.104 2.882
Pm 1.104 -1.104 8.610
Pm 2.164 2.164 5.714
Pm -2.164 2.164 5.779
Pm -1.104 1.104 8.610
Pr 0.000 0.000 0.000
Pr 4.379 0.000 2.873
Pr 0.000 4.379 2.873
Cd 0.000 0.000 5.746

=====

[2]
! Y5Tm2Ru5, optimized geometry, DFT PBE-GGA; values from VASP
! Formation energy from the elements (meV per atom): -218
! SG: R-3m
! Theoretical density (g/cm3): 8.07
&SYSTEM
  ibrav = 0, nat = 12, ntyp = 3
/
ATOMIC_SPECIES
Y 88.91 Y.upf
Tm 168.93 Tm.upf
Ru 101.07 Ru.upf
CELL_PARAMETERS angstrom
2.425 1.400 13.017
-2.425 1.400 13.017
0.000 -2.800 13.017
ATOMIC_POSITIONS angstrom
Y 0.000 0.000 0.000
Y 0.000 0.000 7.437
Y 0.000 0.000 11.076
Y 0.000 0.000 27.974
Y 0.000 0.000 31.613
Tm 0.000 0.000 16.714
Tm 0.000 0.000 22.336
Ru 0.000 0.000 4.405
Ru 0.000 0.000 13.884
Ru 0.000 0.000 19.525
Ru 0.000 0.000 25.166
Ru 0.000 0.000 34.645

=====

[3]
! Sm7In5, optimized geometry, DFT PBE-GGA; values from VASP
! Formation energy from the elements (meV per atom): -282
! SG: C2/m
! Theoretical density (g/cm3): 7.22
&SYSTEM
  ibrav = 0, nat = 12, ntyp = 2
/
ATOMIC_SPECIES
Sm 150.36 Sm.upf
In 114.82 In.upf
CELL_PARAMETERS angstrom
5.723 -2.482 0.000
5.723 2.482 0.000
-5.641 0.000 13.171
ATOMIC_POSITIONS angstrom
Sm 0.000 0.000 0.000
Sm -1.069 0.000 7.016
Sm -1.969 0.000 10.723
Sm 1.518 0.000 9.395
Sm 4.287 0.000 3.776
Sm 7.774 0.000 2.447
Sm 6.874 0.000 6.155
In 0.592 0.000 3.955
In 3.521 0.000 0.737
In 2.903 0.000 6.585
In 2.284 0.000 12.434
In 5.213 0.000 9.216

=====

[4]
! CsSc2W, optimized geometry, DFT PBE-GGA; values from VASP
! Formation energy from the elements (meV per atom): 1290
! SG: Fd-3m
! Theoretical density (g/cm3): 3.88
! Relative energy among the computed polymorphs (meV per atom): 581.4
&SYSTEM
  ibrav = 0, nat = 8, ntyp = 3
/
ATOMIC_SPECIES
Cs 132.91 Cs.upf
Sc 44.96 Sc.upf
W 183.84 W.upf
CELL_PARAMETERS angstrom
0.000 5.582 5.582
5.582 0.000 5.582
5.582 5.582 0.000
ATOMIC_POSITIONS angstrom
Cs 1.395 1.395 1.395
Cs 9.768 9.768 9.768
Sc 5.582 2.791 2.791
Sc 2.791 5.582 2.791
Sc 2.791 2.791 5.582
Sc 5.582 5.582 5.582
W 4.186 4.186 4.186
W 6.977 6.977 6.977

=====

[5]
! AcYCdAg, optimized geometry, DFT PBE-GGA; values from VASP
! Formation energy from the elements (meV per atom): -289
! SG: P4mm
! Theoretical density (g/cm3): 7.77
! Relative energy among the computed polymorphs (meV per atom): 0.0
&SYSTEM
  ibrav = 0, nat = 4, ntyp = 4
/
ATOMIC_SPECIES
Ac 227.00 Ac.upf
Y 88.91 Y.upf
Cd 112.41 Cd.upf
Ag 107.87 Ag.upf
CELL_PARAMETERS angstrom
3.827 0.000 0.000
0.000 3.827 0.000
0.000 0.000 7.821
ATOMIC_POSITIONS angstrom
Ac 0.000 0.000 0.000
Y 0.000 0.000 3.784
Cd 1.914 1.914 5.566
Ag 1.914 1.914 2.203

=====

[6]
! CaHfZn2Sb, optimized geometry, DFT PBE-GGA; values from VASP
! Formation energy without anion corrections (eV/atom): 0.976
! SG: P4/mmm
! Theoretical density (g/cm3): 5.62
&SYSTEM
  ibrav = 0, nat = 5, ntyp = 4
/
ATOMIC_SPECIES
Ca 40.08 Ca.upf
Hf 178.49 Hf.upf
Zn 65.41 Zn.upf
Sb 121.76 Sb.upf
CELL_PARAMETERS angstrom
5.024 0.000 0.000
0.000 5.024 0.000
0.000 0.000 5.519
ATOMIC_POSITIONS angstrom
Ca 0.000 0.000 0.000
Hf 2.512 2.512 2.760
Zn 0.000 2.512 0.000
Zn 2.512 0.000 0.000
Sb 0.000 0.000 2.760

=====

[7]
! Na3CrCd, optimized geometry, DFT PBE-GGA; values from VASP
! Formation energy from the elements (meV per atom): 716
! SG: Pm-3m
! Theoretical density (g/cm3): 1.99
! Relative energy among the computed polymorphs (meV per atom): 5.0
&SYSTEM
  ibrav = 0, nat = 5, ntyp = 3
/
ATOMIC_SPECIES
Na 22.99 Na.upf
Cr 52.00 Cr.upf
Cd 112.41 Cd.upf
CELL_PARAMETERS angstrom
5.793 0.000 0.000
0.000 5.793 0.000
0.000 0.000 5.793
ATOMIC_POSITIONS angstrom
Na 0.000 0.000 2.897
Na 0.000 2.897 0.000
Na 2.897 0.000 0.000
Cr 0.000 0.000 0.000
Cd 2.897 2.897 2.897

=====

[8]
! CaCr2Au, optimized geometry, DFT PBE-GGA; values from VASP
! Formation energy from the elements (meV per atom): 888
! SG: Cmmm
! Theoretical density (g/cm3): 8.41
! Relative energy among the computed polymorphs (meV per atom): 753.5
&SYSTEM
  ibrav = 0, nat = 4, ntyp = 3
/
ATOMIC_SPECIES
Ca 40.08 Ca.upf
Cr 52.00 Cr.upf
Au 196.97 Au.upf
CELL_PARAMETERS angstrom
1.922 -1.926 0.000
1.922 1.926 0.000
0.000 0.000 9.101
ATOMIC_POSITIONS angstrom
Ca 0.000 0.000 0.000
Cr 1.922 0.000 2.507
Cr 1.922 0.000 6.594
Au 0.000 0.000 4.551

=====

[9]
! Cu6As, optimized geometry, DFT PBE-GGA; values from VASP
! Formation energy from the elements (meV per atom): 949
! SG: Im-3m
! Theoretical density (g/cm3): 5.80
! Relative energy among the computed polymorphs (meV per atom): 891.4
&SYSTEM
  ibrav = 0, nat = 7, ntyp = 2
/
ATOMIC_SPECIES
Cu 63.55 Cu.upf
As 74.92 As.upf
CELL_PARAMETERS angstrom
-3.196 3.196 3.196
3.196 -3.196 3.196
3.196 3.196 -3.196
ATOMIC_POSITIONS angstrom
Cu 3.196 1.598 0.000
Cu 3.196 0.000 1.598
Cu 1.598 3.196 0.000
Cu 1.598 0.000 3.196
Cu 0.000 3.196 1.598
Cu 0.000 1.598 3.196
As 0.000 0.000 0.000

=====

[10]
! VBiCl3, optimized geometry, DFT PBE-GGA; values from VASP
! Formation energy without anion corrections (eV/atom): 0.166
! SG: Pm-3m
! Theoretical density (g/cm3): 3.59
! Relative energy among the computed polymorphs (meV per atom): 595.9
&SYSTEM
  ibrav = 0, nat = 5, ntyp = 3
/
ATOMIC_SPECIES
V 50.94 V.upf
Bi 208.98 Bi.upf
Cl 35.45 Cl.upf
CELL_PARAMETERS angstrom
5.533 0.000 0.000
0.000 5.533 0.000
0.000 0.000 5.533
ATOMIC_POSITIONS angstrom
V 0.000 0.000 0.000
Bi 2.767 2.767 2.767
Cl 0.000 2.767 2.767
Cl 2.767 0.000 2.767
Cl 2.767 2.767 0.000

=====

[11]
! NdEr2S3, optimized geometry, DFT PBE-GGA; values from VASP
! Formation energy without anion corrections (eV/atom): -1.969
! SG: Immm
! Theoretical density (g/cm3): 7.38
&SYSTEM
  ibrav = 0, nat = 6, ntyp = 3
/
ATOMIC_SPECIES
Nd 144.24 Nd.upf
Er 167.26 Er.upf
S 32.06 S.upf
CELL_PARAMETERS angstrom
-1.958 2.787 5.926
1.958 -2.787 5.926
1.958 2.787 -5.926
ATOMIC_POSITIONS angstrom
Nd 0.000 0.000 0.000
Er 0.000 0.000 4.022
Er 0.000 0.000 7.829
S 1.958 0.000 2.113
S 0.000 2.787 0.000
S 0.000 2.787 3.812

=====

[12]
! LiPaTeSe, optimized geometry, DFT PBE-GGA; values from VASP
! Formation energy without anion corrections (eV/atom): -0.952
! SG: R-3m
! Theoretical density (g/cm3): 6.85
&SYSTEM
  ibrav = 0, nat = 8, ntyp = 4
/
ATOMIC_SPECIES
Li 6.94 Li.upf
Pa 231.04 Pa.upf
Te 127.60 Te.upf
Se 78.96 Se.upf
CELL_PARAMETERS angstrom
2.320 1.340 11.551
-2.320 1.340 11.551
0.000 -2.679 11.551
ATOMIC_POSITIONS angstrom
Li 0.000 0.000 6.798
Li 0.000 0.000 27.854
Pa 0.000 0.000 13.555
Pa 0.000 0.000 21.097
Te 0.000 0.000 3.940
Te 0.000 0.000 30.712
Se 0.000 0.000 10.523
Se 0.000 0.000 24.129

=====

Among the records above, which one has the lowest theoretical density? Na3CrCd